The following is a PBE calculation of Ac8PdPt3Cl4 after structural relaxation, from Alexandria.

Values from the calculation:
M_tot (μB per formula unit): 0.00
Formation energy (no corrections) (eV per atom): -1.377

abc: 8.8750 8.8750 23.7399
angles: 90.00 90.00 120.00
Space group R-3m (No. 166, hexagonal axes)
Unique sites:
Ac 0.0000 0.0000 0.2348
Ac 0.0023 0.5011 0.7650
Pd 0.0000 0.0000 0.5000
Pt 0.0000 0.5000 0.5000
Cl 0.0000 0.0000 0.0000
Cl 0.0000 0.5000 0.0000